No. 1
Density functional theory data (PBE) for a relaxed structure of Ba6SbTe2I3.

N(E_F), states/eV/f.u.: 3.641
Space group: C2/m, No. 12
Raw total energy, Ry per atom: -0.2754

POSCAR file:
```
Ba6SbTe2I3
1.0
-8.4359 -1.5261 1.4758
3.3783 -1.5320 -7.8684
3.4629 -6.6430 4.3824
Ba Sb Te I
6 1 2 3
Direct
0.9244 0.5963 0.7730
0.7483 0.7483 0.2285
0.0756 0.4037 0.2270
0.5963 0.9244 0.7730
0.2517 0.2517 0.7715
0.4037 0.0756 0.2270
0.0000 0.0000 0.0000
0.3337 0.6663 0.0000
0.6663 0.3337 0.0000
0.1682 0.8318 0.5000
0.8318 0.1682 0.5000
0.5000 0.5000 0.5000
```

=====

No. 2
Density functional theory data (PBE) for a relaxed structure of Ba8SbTe3I4.

N(E_F), states/eV/f.u.: 4.889
Space group: R-3m, No. 166
Raw total energy, Ry per atom: -0.2749

POSCAR file:
```
Ba8SbTe3I4
1.0
10.0228 0.0000 0.0000
0.0000 10.0229 -0.0073
-5.0114 -5.0071 7.0915
Ba Sb Te I
8 1 3 4
Direct
0.2399 0.7275 0.9878
0.2400 0.7274 0.4800
0.2566 0.2699 0.5132
0.7479 0.7275 0.9878
0.2521 0.2725 0.0122
0.7434 0.7301 0.4868
0.7600 0.2726 0.5200
0.7601 0.2725 0.0122
0.0000 0.5000 0.0000
0.5000 0.5000 0.0000
0.5000 0.5000 0.5000
0.0000 0.5000 0.5000
0.5000 0.0000 0.0000
0.5000 0.0000 0.5000
0.0000 0.0000 0.0000
0.0000 0.0000 0.5000
```

=====

No. 3
Density functional theory data (PBE) for a relaxed structure of BaSbTe2I.

N(E_F), states/eV/f.u.: 2.456
Space group: P4/mmm, No. 123
E above lowest polymorph, meV per atom: 0

POSCAR file:
```
BaSbTe2I
1.0
5.9022 0.0000 0.0000
0.0000 5.9022 0.0000
0.0000 0.0000 5.9032
I Sb Te Ba
1 1 2 1
Direct
0.0000 0.0000 0.5000
0.0000 0.0000 0.0000
0.0000 0.5000 0.0000
0.5000 0.0000 0.0000
0.5000 0.5000 0.5000
```

=====

No. 4
Density functional theory data (PBE) for a relaxed structure of Ba8SbTe4I3.

N(E_F), states/eV/f.u.: 6.228
Space group: R-3m, No. 166
Raw total energy, Ry per atom: -0.2856

POSCAR file:
```
Ba8SbTe4I3
1.0
10.0178 0.0000 0.0000
0.0000 10.0180 -0.0040
-5.0089 -5.0054 7.0859
Ba Sb Te I
8 1 4 3
Direct
0.2459 0.7579 0.0119
0.2461 0.7581 0.4922
0.2433 0.2299 0.4867
0.7660 0.7579 0.0119
0.2340 0.2421 0.9881
0.7567 0.7701 0.5133
0.7539 0.2419 0.5078
0.7541 0.2421 0.9881
0.0000 0.5000 0.0000
0.5000 0.0000 0.0000
0.5000 0.0000 0.5000
0.0000 0.0000 0.0000
0.0000 0.0000 0.5000
0.5000 0.5000 0.0000
0.5000 0.5000 0.5000
0.0000 0.5000 0.5000
```

=====

No. 5
Density functional theory data (PBE) for a relaxed structure of BaSbTe2I.

N(E_F), states/eV/f.u.: 7.640
Space group: P4/mmm, No. 123
E above lowest polymorph, meV per atom: 593

POSCAR file:
```
BaSbTe2I
1.0
5.8973 0.0000 0.0000
0.0000 5.8973 0.0000
0.0000 0.0000 5.8702
I Sb Te Ba
1 1 2 1
Direct
0.0000 0.0000 0.0000
0.0000 0.0000 0.5000
0.0000 0.5000 0.0000
0.5000 0.0000 0.0000
0.5000 0.5000 0.5000
```

=====

No. 6
Density functional theory data (PBE) for a relaxed structure of BaSbTe2I.

N(E_F), states/eV/f.u.: 10.133
Space group: P4/mmm, No. 123
E above lowest polymorph, meV per atom: 1126

POSCAR file:
```
BaSbTe2I
1.0
6.5455 0.0000 0.0000
0.0000 6.5455 0.0000
0.0000 0.0000 6.7350
I Sb Te Ba
1 1 2 1
Direct
0.5000 0.5000 0.5000
0.0000 0.0000 0.5000
0.0000 0.5000 0.0000
0.5000 0.0000 0.0000
0.0000 0.0000 0.0000
```